LiIrOs2: relaxed, PBEsol.

a = 2.6477 Å, b = 2.6477 Å, c = 9.0936 Å
α = 90.00°, β = 90.00°, γ = 118.01°
Sites, in units of the cell vectors:
Ir (0.0000, 0.0000, 0.4955)
Li (0.5000, 0.5000, 0.2538)
Os (0.0000, 0.0000, 0.9990)
Os (0.5000, 0.5000, 0.7517)

Offset from the most stable computed form (meV/atom): 127
Size of the total moment (μB per cell): 0.00